1.
Crystalline Sc2HgCl at its relaxed geometry, computed with PBE.

Cell lengths 6.798, 3.545, 7.699 Å; angles 90.00, 112.14, 90.00 degrees
Atoms (fractional coordinates):
Cl 0.199 0.750 0.974
Cl 0.801 0.250 0.026
Hg 0.684 0.750 0.515
Hg 0.316 0.250 0.485
Sc 0.042 0.250 0.700
Sc 0.504 0.750 0.825
Sc 0.496 0.250 0.175
Sc 0.958 0.750 0.300

Calculated values
**Energy above the lowest structure with this stoichiometry**: 0.041 eV/atom
**Total DFT energy (no corrections)**: -0.1637 hartree per atom
**Total moment**: 0.000 μB per atom
**Calculated density**: 6.3 g/cm³

***

2.
Crystalline PuHf4In at its relaxed geometry, computed with PBE.

Cell lengths 3.204, 8.283, 10.448 Å; angles 90.00, 90.00, 101.15 degrees
Site moments in Bohr magnetons follow the coordinates.
Atoms (fractional coordinates):
In 0.220 0.439 0.024  -0.02
In 0.780 0.561 0.524  -0.02
Hf 0.325 0.650 0.769  0.10
Hf 0.549 0.098 0.011  0.05
Hf 0.451 0.902 0.511  0.05
Hf 0.675 0.350 0.269  0.10
Hf 0.884 0.767 0.019  0.06
Hf 0.011 0.022 0.264  0.01
Hf 0.116 0.233 0.519  0.06
Hf 0.989 0.978 0.764  0.01
Pu 0.657 0.313 0.775  5.23
Pu 0.343 0.687 0.275  5.23

Calculated values
**Total DFT energy (no corrections)**: -0.3480 hartree per atom
**ΔE_f**: 0.01 eV per atom
**Total moment**: 0.953 μB per atom
**Calculated density**: 13.1 g/cm³